Density functional theory data (PBE) for a relaxed structure of TlRhO4.

## Properties
Magnetic moment ... 1.92 μB/f.u.
Formation energy without anion corrections ... -506 meV per atom

Lattice parameters (Å, degrees): 6.0561 12.7856 5.2101 90.00 116.18 90.00
Closest atoms and distances in Å follow each position.
Space group C2/c (No. 15)
Asymmetric unit:
Tl 0.0000 0.1778 0.2500  6 O 2.31-2.36
Rh 0.0000 0.4374 0.2500  6 O 1.94-2.03
O 0.1909 0.4486 0.6649  2 Rh 1.96-2.03
O 0.2302 0.3290 0.2686  1 Rh 1.94